(i)
A plane-wave DFT calculation with PBE was carried out for crystalline TlSnAu3 at its relaxed geometry.

Lattice parameters (Å, degrees): 5.252 5.252 5.252 90.00 90.00 90.00
Positions (direct):
Tl (0.000, 0.000, 0.000)
Sn (0.500, 0.500, 0.500)
Au (0.000, 0.000, 0.500)
Au (0.000, 0.500, 0.000)
Au (0.500, 0.000, 0.000)

Values from the calculation:
Its symmetry is Pm-3m. The calculation puts the volume at 144.9 Å³/f.u.



(ii)
A plane-wave DFT calculation with PBE was carried out for crystalline TlSnAu3 at its relaxed geometry.

Lattice parameters (Å, degrees): 7.563 7.090 8.800 90.00 93.35 90.00
Positions (direct):
Tl (0.043, 0.105, 0.193)
Tl (0.043, 0.395, 0.693)
Tl (0.957, 0.605, 0.307)
Tl (0.957, 0.895, 0.807)
Sn (0.345, 0.688, 0.554)
Sn (0.345, 0.812, 0.054)
Sn (0.655, 0.188, 0.946)
Sn (0.655, 0.312, 0.446)
Au (0.176, 0.045, 0.547)
Au (0.176, 0.455, 0.047)
Au (0.288, 0.129, 0.870)
Au (0.288, 0.371, 0.370)
Au (0.446, 0.538, 0.838)
Au (0.446, 0.962, 0.338)
Au (0.554, 0.038, 0.662)
Au (0.554, 0.462, 0.162)
Au (0.712, 0.629, 0.630)
Au (0.712, 0.871, 0.130)
Au (0.824, 0.545, 0.953)
Au (0.824, 0.955, 0.453)

Values from the calculation:
Its symmetry is P2_1/c. The calculation puts the volume at 117.8 Å³/f.u.



Quick one: most stable of them? (ii)



(i)
A plane-wave DFT calculation with PBE was carried out for crystalline Tl2SnAu2 at its relaxed geometry.

Lattice parameters (Å, degrees): 9.139 9.139 9.139 155.47 155.47 34.96
Positions (direct):
Tl (0.110, 0.110, 0.000)
Tl (0.890, 0.890, 0.000)
Sn (0.500, 0.500, 0.000)
Au (0.250, 0.750, 0.500)
Au (0.750, 0.250, 0.500)

Values from the calculation:
Its symmetry is I4/mmm. The calculation puts the volume at 131.4 Å³/f.u.



(ii)
A plane-wave DFT calculation with PBE was carried out for crystalline Tl2SnAu2 at its relaxed geometry.

Lattice parameters (Å, degrees): 7.541 7.541 4.463 90.00 90.00 90.00
Positions (direct):
Tl (0.168, 0.332, 0.000)
Tl (0.332, 0.832, 0.000)
Tl (0.668, 0.168, 0.000)
Tl (0.832, 0.668, 0.000)
Sn (0.000, 0.000, 0.500)
Sn (0.500, 0.500, 0.500)
Au (0.135, 0.635, 0.500)
Au (0.365, 0.135, 0.500)
Au (0.635, 0.865, 0.500)
Au (0.865, 0.365, 0.500)

Values from the calculation:
Its symmetry is P4/mbm. The calculation puts the volume at 126.9 Å³/f.u.



(iii)
A plane-wave DFT calculation with PBE was carried out for crystalline Tl2SnAu2 at its relaxed geometry.

Lattice parameters (Å, degrees): 8.799 8.799 3.218 90.00 90.00 90.00
Positions (direct):
Tl (0.139, 0.361, 0.000)
Tl (0.361, 0.861, 0.000)
Tl (0.639, 0.139, 0.000)
Tl (0.861, 0.639, 0.000)
Sn (0.000, 0.000, 0.000)
Sn (0.500, 0.500, 0.000)
Au (0.158, 0.658, 0.500)
Au (0.342, 0.158, 0.500)
Au (0.658, 0.842, 0.500)
Au (0.842, 0.342, 0.500)

Values from the calculation:
Its symmetry is P4/mbm. The calculation puts the volume at 124.6 Å³/f.u.



Quick one: most stable of them? (ii)



(i)
A plane-wave DFT calculation with PBE was carried out for crystalline Tl2SnAu2 at its relaxed geometry.

Lattice parameters (Å, degrees): 7.433 7.433 7.433 145.73 145.73 49.24
Positions (direct):
Tl (0.250, 0.750, 0.500)
Tl (0.750, 0.250, 0.500)
Sn (0.000, 0.000, 0.000)
Au (0.401, 0.401, 0.000)
Au (0.599, 0.599, 0.000)

Values from the calculation:
Its symmetry is I4/mmm. The calculation puts the volume at 129.6 Å³/f.u.



(ii)
A plane-wave DFT calculation with PBE was carried out for crystalline Tl2SnAu2 at its relaxed geometry.

Lattice parameters (Å, degrees): 4.213 4.408 8.540 77.64 76.27 63.04
Positions (direct):
Tl (0.210, 0.212, 0.355)
Tl (0.790, 0.788, 0.645)
Sn (0.000, 0.000, 0.000)
Au (0.388, 0.391, 0.839)
Au (0.612, 0.609, 0.161)

Values from the calculation:
Its symmetry is P-1. The calculation puts the volume at 136.3 Å³/f.u.



(iii)
A plane-wave DFT calculation with PBE was carried out for crystalline Tl2SnAu2 at its relaxed geometry.

Lattice parameters (Å, degrees): 6.754 6.754 11.046 122.56 122.56 38.88
Positions (direct):
Tl (0.103, 0.103, 0.405)
Tl (0.345, 0.345, 0.806)
Tl (0.655, 0.655, 0.194)
Tl (0.897, 0.897, 0.595)
Sn (0.349, 0.349, 0.140)
Sn (0.651, 0.651, 0.860)
Au (0.077, 0.077, 0.945)
Au (0.362, 0.362, 0.400)
Au (0.638, 0.638, 0.600)
Au (0.923, 0.923, 0.055)

Values from the calculation:
Its symmetry is C2/m. The calculation puts the volume at 129.9 Å³/f.u.



Quick one: most stable of them? (ii)



(i)
A plane-wave DFT calculation with PBE was carried out for crystalline TlSn2Au2 at its relaxed geometry.

Lattice parameters (Å, degrees): 6.614 6.614 6.614 136.87 136.87 62.64
Positions (direct):
Tl (0.000, 0.000, 0.000)
Sn (0.250, 0.750, 0.500)
Sn (0.750, 0.250, 0.500)
Au (0.378, 0.378, 0.000)
Au (0.622, 0.622, 0.000)

Values from the calculation:
Its symmetry is I4/mmm. The calculation puts the volume at 133.6 Å³/f.u.



(ii)
A plane-wave DFT calculation with PBE was carried out for crystalline TlSn2Au2 at its relaxed geometry.

Lattice parameters (Å, degrees): 8.425 8.425 3.431 90.00 90.00 90.00
Positions (direct):
Tl (0.000, 0.000, 0.000)
Tl (0.500, 0.500, 0.000)
Sn (0.148, 0.352, 0.500)
Sn (0.352, 0.852, 0.500)
Sn (0.648, 0.148, 0.500)
Sn (0.852, 0.648, 0.500)
Au (0.148, 0.648, 0.000)
Au (0.352, 0.148, 0.000)
Au (0.648, 0.852, 0.000)
Au (0.852, 0.352, 0.000)

Values from the calculation:
Its symmetry is P4/mbm. The calculation puts the volume at 121.8 Å³/f.u.



(iii)
A plane-wave DFT calculation with PBE was carried out for crystalline TlSn2Au2 at its relaxed geometry.

Lattice parameters (Å, degrees): 5.159 4.771 10.748 90.00 98.24 90.00
Positions (direct):
Tl (0.239, 0.250, 0.255)
Tl (0.761, 0.750, 0.745)
Sn (0.232, 0.750, 0.490)
Sn (0.332, 0.250, 0.895)
Sn (0.668, 0.750, 0.105)
Sn (0.768, 0.250, 0.510)
Au (0.152, 0.750, 0.991)
Au (0.302, 0.250, 0.637)
Au (0.698, 0.750, 0.363)
Au (0.848, 0.250, 0.009)

Values from the calculation:
Its symmetry is P2_1/m. The calculation puts the volume at 130.9 Å³/f.u.



Quick one: most stable of them? (iii)



(i)
A plane-wave DFT calculation with PBE was carried out for crystalline Tl5Sn2Au4 at its relaxed geometry.

Lattice parameters (Å, degrees): 11.303 11.303 8.249 107.66 107.66 16.68
Positions (direct):
Tl (0.000, 0.000, 0.000)
Tl (0.345, 0.345, 0.092)
Tl (0.376, 0.376, 0.718)
Tl (0.624, 0.624, 0.282)
Tl (0.655, 0.655, 0.908)
Sn (0.226, 0.226, 0.649)
Sn (0.774, 0.774, 0.351)
Au (0.092, 0.092, 0.552)
Au (0.488, 0.488, 0.311)
Au (0.512, 0.512, 0.689)
Au (0.908, 0.908, 0.448)

Values from the calculation:
Its symmetry is C2/m. The calculation puts the volume at 288.0 Å³/f.u.



(ii)
A plane-wave DFT calculation with PBE was carried out for crystalline Tl5Sn2Au4 at its relaxed geometry.

Lattice parameters (Å, degrees): 4.304 8.726 8.921 67.23 76.95 76.01
Positions (direct):
Tl (0.000, 0.000, 0.000)
Tl (0.257, 0.819, 0.670)
Tl (0.356, 0.334, 0.961)
Tl (0.644, 0.666, 0.039)
Tl (0.743, 0.181, 0.330)
Sn (0.056, 0.281, 0.607)
Sn (0.944, 0.719, 0.393)
Au (0.140, 0.461, 0.262)
Au (0.395, 0.937, 0.272)
Au (0.605, 0.063, 0.728)
Au (0.860, 0.539, 0.738)

Values from the calculation:
Its symmetry is P-1. The calculation puts the volume at 296.4 Å³/f.u.



Quick one: most stable of them? (ii)



(i)
A plane-wave DFT calculation with PBE was carried out for crystalline Tl3SnAu3 at its relaxed geometry.

Lattice parameters (Å, degrees): 7.293 7.293 7.344 93.80 93.80 104.99
Positions (direct):
Tl (0.150, 0.850, 0.000)
Tl (0.257, 0.743, 0.500)
Tl (0.364, 0.364, 0.154)
Tl (0.636, 0.636, 0.846)
Tl (0.743, 0.257, 0.500)
Tl (0.850, 0.150, 0.000)
Sn (0.275, 0.275, 0.612)
Sn (0.725, 0.725, 0.388)
Au (0.050, 0.050, 0.319)
Au (0.089, 0.468, 0.831)
Au (0.468, 0.089, 0.831)
Au (0.532, 0.911, 0.169)
Au (0.911, 0.532, 0.169)
Au (0.950, 0.950, 0.681)

Values from the calculation:
Its symmetry is C2/m. The calculation puts the volume at 187.5 Å³/f.u.



(ii)
A plane-wave DFT calculation with PBE was carried out for crystalline Tl3SnAu3 at its relaxed geometry.

Lattice parameters (Å, degrees): 7.773 7.773 7.396 96.77 96.77 119.77
Positions (direct):
Tl (0.197, 0.803, 0.000)
Tl (0.269, 0.731, 0.500)
Tl (0.372, 0.372, 0.145)
Tl (0.628, 0.628, 0.855)
Tl (0.731, 0.269, 0.500)
Tl (0.803, 0.197, 0.000)
Sn (0.216, 0.216, 0.530)
Sn (0.784, 0.784, 0.470)
Au (0.022, 0.022, 0.814)
Au (0.124, 0.443, 0.773)
Au (0.443, 0.124, 0.773)
Au (0.557, 0.876, 0.227)
Au (0.876, 0.557, 0.227)
Au (0.978, 0.978, 0.186)

Values from the calculation:
Its symmetry is C2/m. The calculation puts the volume at 188.5 Å³/f.u.



Quick one: most stable of them? (ii)



(i)
A plane-wave DFT calculation with PBE was carried out for crystalline TlSn3Au2 at its relaxed geometry.

Lattice parameters (Å, degrees): 8.431 8.431 8.431 131.92 70.52 131.70
Positions (direct):
Tl (0.000, 0.000, 0.000)
Tl (0.500, 0.500, 0.000)
Sn (0.022, 0.250, 0.772)
Sn (0.250, 0.750, 0.500)
Sn (0.478, 0.250, 0.228)
Sn (0.522, 0.750, 0.772)
Sn (0.750, 0.250, 0.500)
Sn (0.978, 0.750, 0.228)
Au (0.140, 0.691, 0.831)
Au (0.360, 0.191, 0.552)
Au (0.640, 0.809, 0.448)
Au (0.860, 0.309, 0.169)

Values from the calculation:
Its symmetry is Ibam. The calculation puts the volume at 163.1 Å³/f.u.



(ii)
A plane-wave DFT calculation with PBE was carried out for crystalline TlSn3Au2 at its relaxed geometry.

Lattice parameters (Å, degrees): 8.867 8.867 8.838 112.93 112.93 29.36
Positions (direct):
Tl (0.117, 0.117, 0.114)
Tl (0.883, 0.883, 0.886)
Sn (0.032, 0.032, 0.680)
Sn (0.315, 0.315, 0.144)
Sn (0.333, 0.333, 0.557)
Sn (0.667, 0.667, 0.443)
Sn (0.685, 0.685, 0.856)
Sn (0.968, 0.968, 0.320)
Au (0.192, 0.192, 0.652)
Au (0.498, 0.498, 0.165)
Au (0.502, 0.502, 0.835)
Au (0.808, 0.808, 0.348)

Values from the calculation:
Its symmetry is C2/m. The calculation puts the volume at 155.9 Å³/f.u.



Quick one: most stable of them? (ii)



(i)
A plane-wave DFT calculation with PBE was carried out for crystalline USnAu4 at its relaxed geometry.

Lattice parameters (Å, degrees): 5.653 5.653 5.653 60.00 60.00 60.00
Positions (direct):
U (0.000, 0.000, 0.000)
Sn (0.250, 0.250, 0.250)
Au (0.125, 0.625, 0.625)
Au (0.625, 0.125, 0.625)
Au (0.625, 0.625, 0.125)
Au (0.625, 0.625, 0.625)

Values from the calculation:
Its symmetry is F-43m. The calculation puts the volume at 127.8 Å³/f.u.



(ii)
A plane-wave DFT calculation with PBE was carried out for crystalline USnAu4 at its relaxed geometry.

Lattice parameters (Å, degrees): 4.823 4.823 6.382 90.07 90.07 60.13
Positions (direct):
U (0.000, 0.000, 0.000)
Sn (0.000, 0.000, 0.500)
Au (0.333, 0.333, 0.241)
Au (0.333, 0.333, 0.754)
Au (0.667, 0.667, 0.246)
Au (0.667, 0.667, 0.759)

Values from the calculation:
Its symmetry is C2/m. The calculation puts the volume at 128.7 Å³/f.u.



Quick one: most stable of them? (ii)



(i)
A plane-wave DFT calculation with PBE was carried out for crystalline SnWAu3 at its relaxed geometry.

Lattice parameters (Å, degrees): 4.986 4.986 4.986 90.00 90.00 90.00
Positions (direct):
Sn (0.000, 0.000, 0.000)
W (0.500, 0.500, 0.500)
Au (0.000, 0.000, 0.500)
Au (0.000, 0.500, 0.000)
Au (0.500, 0.000, 0.000)

Values from the calculation:
Its symmetry is Pm-3m. The calculation puts the volume at 124.0 Å³/f.u.



(ii)
A plane-wave DFT calculation with PBE was carried out for crystalline SnWAu3 at its relaxed geometry.

Lattice parameters (Å, degrees): 5.080 5.080 5.080 90.00 90.00 90.00
Positions (direct):
Sn (0.000, 0.000, 0.000)
W (0.500, 0.500, 0.500)
Au (0.000, 0.500, 0.500)
Au (0.500, 0.000, 0.500)
Au (0.500, 0.500, 0.000)

Values from the calculation:
Its symmetry is Pm-3m. The calculation puts the volume at 131.1 Å³/f.u.



Quick one: most stable of them? (ii)



(i)
A plane-wave DFT calculation with PBE was carried out for crystalline Y2Sn2Au at its relaxed geometry.

Lattice parameters (Å, degrees): 7.415 7.415 4.614 90.00 90.00 90.00
Positions (direct):
Y (0.169, 0.331, 0.000)
Y (0.331, 0.831, 0.000)
Y (0.669, 0.169, 0.000)
Y (0.831, 0.669, 0.000)
Sn (0.139, 0.639, 0.500)
Sn (0.361, 0.139, 0.500)
Sn (0.639, 0.861, 0.500)
Sn (0.861, 0.361, 0.500)
Au (0.000, 0.000, 0.500)
Au (0.500, 0.500, 0.500)

Values from the calculation:
Its symmetry is P4/mbm. The calculation puts the volume at 126.8 Å³/f.u.



(ii)
A plane-wave DFT calculation with PBE was carried out for crystalline Y2Sn2Au at its relaxed geometry.

Lattice parameters (Å, degrees): 7.972 7.972 4.406 90.00 90.00 90.00
Positions (direct):
Y (0.174, 0.326, 0.000)
Y (0.326, 0.826, 0.000)
Y (0.674, 0.174, 0.000)
Y (0.826, 0.674, 0.000)
Sn (0.128, 0.628, 0.500)
Sn (0.372, 0.128, 0.500)
Sn (0.628, 0.872, 0.500)
Sn (0.872, 0.372, 0.500)
Au (0.000, 0.000, 0.000)
Au (0.500, 0.500, 0.000)

Values from the calculation:
Its symmetry is P4/mbm. The calculation puts the volume at 140.0 Å³/f.u.



Quick one: most stable of them? (i)